Entry 1:
{
  "formula": "Li2CaMgPt",
  "functional": "PBE-GGA",
  "state": "optimized geometry",
  "lattice": [[-4.220, -0.774, -2.290], [-1.786, -2.107, 4.003], [-1.679, 4.447, 1.592]],
  "species": ["Ca", "Mg", "Pt", "Li", "Li"],
  "fractional_positions": [[0.500, 0.500, 0.500], [0.000, 0.000, 0.500], [0.000, 0.000, 0.000], [0.000, 0.500, 0.000], [0.500, 0.000, 0.000]],
  "delta_e_f_ev_per_atom": -0.2644,
  "crystal_system": "tetragonal"
}

Entry 2:
{
  "formula": "Al2IrPb",
  "functional": "PBE-GGA",
  "state": "optimized geometry",
  "lattice": [[-1.941, 2.470, 0.799], [-3.686, -3.395, 1.545], [1.707, 0.014, 4.104]],
  "species": ["Pb", "Ir", "Al", "Al"],
  "fractional_positions": [[0.000, 0.500, 0.500], [0.500, 0.000, 0.500], [0.000, 0.000, 0.000], [0.500, 0.500, 0.000]],
  "delta_e_f_ev_per_atom": 0.2849,
  "crystal_system": "orthorhombic"
}

Entry 3:
{
  "formula": "BaPtPbO",
  "functional": "PBE-GGA",
  "state": "optimized geometry",
  "lattice": [[3.952, 0.000, 0.000], [0.000, 3.952, 0.000], [0.000, 0.000, 13.017]],
  "species": ["Ba", "Ba", "Pt", "Pt", "Pb", "Pb", "O", "O"],
  "fractional_positions": [[0.000, 0.500, 0.893], [0.500, 0.000, 0.107], [0.000, 0.000, 0.500], [0.500, 0.500, 0.500], [0.000, 0.500, 0.347], [0.500, 0.000, 0.653], [0.500, 0.000, 0.912], [0.000, 0.500, 0.088]],
  "formation_energy_uncorrected_ev_per_atom": -1.242,
  "crystal_system": "tetragonal"
}

Entry 4:
{
  "formula": "CrAsBr2",
  "functional": "PBE-GGA",
  "state": "optimized geometry",
  "lattice": [[2.972, 0.000, 0.000], [0.000, 2.972, 0.000], [0.000, 0.000, 10.543]],
  "species": ["As", "Br", "Br", "Cr"],
  "fractional_positions": [[0.500, 0.500, 0.647], [0.000, 0.000, 0.013], [0.500, 0.500, 0.349], [0.000, 0.000, 0.491]],
  "de_polymorph_mev_per_atom": 377,
  "formation_energy_uncorrected_ev_per_atom": 0.210,
  "crystal_system": "tetragonal"
}

Entry 5:
{
  "formula": "BeHg2Mo",
  "functional": "PBE-GGA",
  "state": "optimized geometry",
  "lattice": [[-3.298, -1.649, 4.207], [-0.899, -3.396, 4.354], [1.080, 1.830, 4.121]],
  "species": ["Be", "Mo", "Hg", "Hg"],
  "fractional_positions": [[0.250, 0.250, 0.250], [0.750, 0.750, 0.750], [0.956, 0.956, 0.044], [0.544, 0.544, 0.456]],
  "delta_e_f_ev_per_atom": 0.6445,
  "crystal_system": "orthorhombic"
}

Entry 6:
{
  "formula": "La4ErTl2",
  "functional": "PBE-GGA",
  "state": "optimized geometry",
  "lattice": [[-1.933, 0.305, -6.673], [6.076, -1.566, -3.000], [-1.193, -4.864, 0.123]],
  "species": ["Tl", "Tl", "Er", "La", "La", "La", "La"],
  "fractional_positions": [[0.788, 0.788, 0.500], [0.212, 0.212, 0.500], [0.000, 0.000, 0.000], [0.709, 0.291, 0.500], [0.291, 0.709, 0.500], [0.500, 0.000, 0.000], [0.000, 0.500, 0.000]],
  "delta_e_f_ev_per_atom": -0.1758,
  "de_polymorph_mev_per_atom": 0,
  "crystal_system": "orthorhombic"
}

Entry 7:
{
  "formula": "ReTcRu3",
  "functional": "PBE-GGA",
  "state": "optimized geometry",
  "lattice": [[-0.681, -2.053, 1.638], [6.518, -2.236, 2.110], [-1.600, 7.104, 3.730]],
  "species": ["Re", "Re", "Tc", "Tc", "Ru", "Ru", "Ru", "Ru", "Ru", "Ru"],
  "fractional_positions": [[0.805, 0.408, 0.997], [0.710, 0.810, 0.098], [0.307, 0.409, 0.498], [0.209, 0.809, 0.598], [0.110, 0.211, 0.698], [0.406, 0.007, 0.397], [0.008, 0.609, 0.799], [0.610, 0.211, 0.199], [0.906, 0.007, 0.897], [0.507, 0.609, 0.297]],
  "delta_e_f_ev_per_atom": 0.0528,
  "de_polymorph_mev_per_atom": 113,
  "crystal_system": "triclinic"
}

Entry 8:
{
  "formula": "MgAg2F6",
  "functional": "PBE-GGA",
  "state": "optimized geometry",
  "lattice": [[3.933, 0.000, -1.005], [-0.257, 3.925, -1.005], [0.085, 0.090, 8.531]],
  "species": ["Mg", "Ag", "Ag", "F", "F", "F", "F", "F", "F"],
  "fractional_positions": [[0.500, 0.500, 0.000], [0.172, 0.172, 0.345], [0.828, 0.828, 0.655], [0.826, 0.328, 0.154], [0.672, 0.672, 0.846], [0.328, 0.826, 0.154], [0.174, 0.174, 0.846], [0.750, 0.250, 0.500], [0.250, 0.750, 0.500]],
  "de_polymorph_mev_per_atom": 63,
  "formation_energy_uncorrected_ev_per_atom": -1.744,
  "crystal_system": "tetragonal"
}

Entry 9:
{
  "formula": "Nb6Ge2B",
  "functional": "PBE-GGA",
  "state": "optimized geometry",
  "lattice": [[5.441, 0.000, 0.206], [0.000, 6.672, 0.000], [-0.406, 0.000, 8.281]],
  "species": ["Nb", "Nb", "Nb", "Nb", "Nb", "Nb", "Nb", "Nb", "Nb", "Nb", "Nb", "Nb", "Ge", "Ge", "Ge", "Ge", "B", "B"],
  "fractional_positions": [[0.894, 0.992, 0.236], [0.848, 0.687, 0.550], [0.853, 0.670, 0.953], [0.647, 0.170, 0.547], [0.652, 0.187, 0.950], [0.606, 0.492, 0.264], [0.106, 0.008, 0.764], [0.152, 0.313, 0.450], [0.147, 0.330, 0.047], [0.353, 0.830, 0.453], [0.348, 0.813, 0.050], [0.394, 0.508, 0.736], [0.931, 0.383, 0.745], [0.569, 0.883, 0.755], [0.431, 0.117, 0.245], [0.069, 0.617, 0.255], [0.500, 0.500, 0.000], [0.000, 0.000, 0.500]],
  "delta_e_f_ev_per_atom": -0.3582,
  "crystal_system": "monoclinic"
}

Entry 10:
{
  "formula": "AlSiPd6",
  "functional": "PBE-GGA",
  "state": "optimized geometry",
  "lattice": [[-3.555, -4.337, -2.295], [2.235, -3.884, -4.077], [0.693, -5.203, 0.812]],
  "species": ["Al", "Si", "Pd", "Pd", "Pd", "Pd", "Pd", "Pd"],
  "fractional_positions": [[0.500, 0.500, 0.500], [0.000, 0.000, 0.000], [0.017, 0.470, 0.756], [0.758, 0.014, 0.758], [0.536, 0.241, 0.240], [0.242, 0.986, 0.242], [0.983, 0.530, 0.244], [0.464, 0.759, 0.760]],
  "formation_energy_uncorrected_ev_per_atom": -0.379,
  "crystal_system": "triclinic"
}

Entry 11:
{
  "formula": "PrMgScTl",
  "functional": "PBE-GGA",
  "state": "optimized geometry",
  "lattice": [[-2.975, -4.060, 1.682], [-0.640, -4.275, -3.079], [2.293, -4.597, 1.332]],
  "species": ["Pr", "Sc", "Tl", "Mg"],
  "fractional_positions": [[0.250, 0.250, 0.250], [0.750, 0.750, 0.750], [0.000, 0.000, 0.000], [0.500, 0.500, 0.500]],
  "delta_e_f_ev_per_atom": -0.2116,
  "crystal_system": "cubic"
}

Entry 12:
{
  "formula": "Sr2LiBePd2",
  "functional": "PBE-GGA",
  "state": "optimized geometry",
  "lattice": [[6.299, 0.000, 0.000], [0.000, 6.259, 0.000], [-3.150, -3.129, 6.993]],
  "species": ["Sr", "Sr", "Sr", "Sr", "Li", "Li", "Be", "Be", "Pd", "Pd", "Pd", "Pd"],
  "fractional_positions": [[0.414, 0.163, 0.327], [0.586, 0.837, 0.673], [0.087, 0.337, 0.673], [0.913, 0.663, 0.327], [0.000, 0.750, 0.000], [0.000, 0.250, 0.000], [0.500, 0.750, 0.000], [0.500, 0.250, 0.000], [0.788, 0.082, 0.164], [0.376, 0.582, 0.164], [0.624, 0.418, 0.836], [0.212, 0.918, 0.836]],
  "delta_e_f_ev_per_atom": -0.4062,
  "crystal_system": "orthorhombic"
}

Entry 13:
{
  "formula": "CuRhBr",
  "functional": "PBE-GGA",
  "state": "optimized geometry",
  "lattice": [[-1.786, 1.560, -2.279], [2.799, -1.504, -0.849], [-2.806, -4.662, -0.993]],
  "species": ["Br", "Cu", "Rh"],
  "fractional_positions": [[0.000, 0.000, 0.990], [0.333, 0.667, 0.352], [0.667, 0.333, 0.658]],
  "de_polymorph_mev_per_atom": 14,
  "formation_energy_uncorrected_ev_per_atom": 0.427,
  "crystal_system": "trigonal"
}

Entry 14:
{
  "formula": "SrCl3O",
  "functional": "PBE-GGA",
  "state": "optimized geometry",
  "lattice": [[5.726, 0.000, 0.000], [0.000, 5.726, 0.000], [0.000, 0.000, 5.726]],
  "species": ["Sr", "O", "Cl", "Cl", "Cl"],
  "fractional_positions": [[0.000, 0.000, 0.000], [0.500, 0.500, 0.500], [0.000, 0.500, 0.000], [0.000, 0.000, 0.500], [0.500, 0.000, 0.000]],
  "de_polymorph_mev_per_atom": 268,
  "formation_energy_uncorrected_ev_per_atom": -0.585,
  "crystal_system": "cubic"
}

Entry 15:
{
  "formula": "La2PmZn2Ga2",
  "functional": "PBE-GGA",
  "state": "optimized geometry",
  "lattice": [[4.459, 0.000, 0.000], [2.229, 3.861, 0.000], [2.229, 1.287, 9.477]],
  "species": ["La", "La", "Pm", "Zn", "Zn", "Ga", "Ga"],
  "fractional_positions": [[0.137, 0.137, 0.590], [0.863, 0.863, 0.410], [0.000, 0.000, 0.000], [0.598, 0.598, 0.206], [0.402, 0.402, 0.794], [0.736, 0.736, 0.793], [0.264, 0.264, 0.207]],
  "delta_e_f_ev_per_atom": -0.4306,
  "crystal_system": "trigonal"
}

Entry 16:
{
  "formula": "NdPaZnGe",
  "functional": "PBE-GGA",
  "state": "optimized geometry",
  "lattice": [[-3.650, 3.568, 0.083], [-4.591, -0.997, -1.998], [-4.048, -0.560, 3.059]],
  "species": ["Ge", "Pa", "Nd", "Zn"],
  "fractional_positions": [[0.250, 0.250, 0.250], [0.000, 0.000, 0.000], [0.500, 0.500, 0.500], [0.750, 0.750, 0.750]],
  "delta_e_f_ev_per_atom": -0.1996,
  "crystal_system": "cubic"
}

Entry 17:
{
  "formula": "Nd2ScS4",
  "functional": "PBE-GGA",
  "state": "optimized geometry",
  "lattice": [[-6.117, 1.811, -2.840], [-3.017, -0.644, 6.090], [3.333, 6.579, 2.347]],
  "species": ["Nd", "Nd", "Nd", "Nd", "Sc", "Sc", "S", "S", "S", "S", "S", "S", "S", "S"],
  "fractional_positions": [[0.693, 0.750, 0.051], [0.307, 0.250, 0.949], [0.290, 0.250, 0.451], [0.710, 0.750, 0.549], [0.218, 0.750, 0.180], [0.782, 0.250, 0.820], [0.493, 0.500, 0.251], [0.009, 0.750, 0.878], [0.991, 0.250, 0.122], [0.493, 0.000, 0.251], [0.987, 0.250, 0.622], [0.507, 0.000, 0.749], [0.507, 0.500, 0.749], [0.013, 0.750, 0.378]],
  "formation_energy_uncorrected_ev_per_atom": -1.818,
  "crystal_system": "monoclinic"
}

Entry 18:
{
  "formula": "Y2TaPbC",
  "functional": "PBE-GGA",
  "state": "optimized geometry",
  "lattice": [[-2.845, -1.764, 3.715], [2.598, -4.272, -0.039], [2.739, 1.639, 2.876]],
  "species": ["Pb", "Y", "Y", "C", "Ta"],
  "fractional_positions": [[0.500, 0.500, 0.500], [0.000, 0.500, 0.000], [0.500, 0.000, 0.000], [0.000, 0.000, 0.000], [0.000, 0.000, 0.500]],
  "delta_e_f_ev_per_atom": -0.3069,
  "crystal_system": "tetragonal"
}

Entry 19:
{
  "formula": "BaSnAu2",
  "functional": "PBE-GGA",
  "state": "optimized geometry",
  "lattice": [[-2.496, 4.299, 2.324], [-4.880, -2.331, -0.927], [-3.260, -3.097, 8.708]],
  "species": ["Au", "Au", "Au", "Au", "Ba", "Ba", "Sn", "Sn"],
  "fractional_positions": [[0.473, 0.125, 0.250], [0.277, 0.625, 0.250], [0.375, 0.527, 0.750], [0.875, 0.723, 0.750], [0.000, 0.000, 0.000], [0.750, 0.250, 0.500], [0.500, 0.500, 0.000], [0.250, 0.750, 0.500]],
  "delta_e_f_ev_per_atom": -0.4678,
  "crystal_system": "tetragonal"
}

Entry 20:
{
  "formula": "Ce2CdRe",
  "functional": "PBE-GGA",
  "state": "optimized geometry",
  "lattice": [[-0.073, 0.926, 3.880], [-0.561, -2.861, 2.723], [9.462, -2.049, 2.717]],
  "species": ["Re", "Ce", "Ce", "Cd"],
  "fractional_positions": [[0.500, 0.500, 0.500], [0.116, 0.116, 0.653], [0.884, 0.884, 0.347], [0.000, 0.000, 0.000]],
  "delta_e_f_ev_per_atom": 0.3822,
  "de_polymorph_mev_per_atom": 426,
  "crystal_system": "trigonal"
}

Entry 21:
{
  "formula": "ZnSi2Tc",
  "functional": "PBE-GGA",
  "state": "optimized geometry",
  "lattice": [[0.000, 3.028, 3.028], [3.028, 0.000, 3.028], [3.028, 3.028, 0.000]],
  "species": ["Zn", "Si", "Si", "Tc"],
  "fractional_positions": [[0.000, 0.000, 0.000], [0.250, 0.250, 0.250], [0.750, 0.750, 0.750], [0.500, 0.500, 0.500]],
  "de_polymorph_mev_per_atom": 314,
  "formation_energy_uncorrected_ev_per_atom": 0.203,
  "crystal_system": "cubic"
}

Entry 22:
{
  "formula": "Be2Hg",
  "functional": "PBE-GGA",
  "state": "optimized geometry",
  "lattice": [[-2.184, 2.184, 4.234], [2.184, -2.184, 4.234], [2.184, 2.184, -4.234]],
  "species": ["Be", "Be", "Be", "Be", "Hg", "Hg"],
  "fractional_positions": [[0.823, 0.323, 0.146], [0.177, 0.677, 0.854], [0.323, 0.177, 0.500], [0.677, 0.823, 0.500], [0.750, 0.750, 0.000], [0.250, 0.250, 0.000]],
  "delta_e_f_ev_per_atom": 0.3197,
  "de_polymorph_mev_per_atom": 57,
  "crystal_system": "tetragonal"
}

Entry 23:
{
  "formula": "Ta2CuRh",
  "functional": "PBE-GGA",
  "state": "optimized geometry",
  "lattice": [[-0.611, -0.729, 4.777], [-3.860, -1.255, 2.693], [-0.072, -3.862, 1.087]],
  "species": ["Cu", "Rh", "Ta", "Ta"],
  "fractional_positions": [[0.250, 0.250, 0.250], [0.750, 0.750, 0.750], [0.001, 0.001, 0.999], [0.499, 0.499, 0.501]],
  "delta_e_f_ev_per_atom": -0.1559,
  "crystal_system": "orthorhombic"
}

Entry 24:
{
  "formula": "SrTeOs2",
  "functional": "PBE-GGA",
  "state": "optimized geometry",
  "lattice": [[-2.019, -0.442, -2.153], [2.352, -2.423, -1.708], [-3.126, -5.964, 4.157]],
  "species": ["Os", "Os", "Sr", "Te"],
  "fractional_positions": [[0.000, 0.000, 0.063], [0.500, 0.500, 0.183], [0.000, 0.000, 0.470], [0.500, 0.500, 0.784]],
  "de_polymorph_mev_per_atom": 335,
  "formation_energy_uncorrected_ev_per_atom": 0.440,
  "crystal_system": "orthorhombic"
}

Entry 25:
{
  "formula": "UMnMo",
  "functional": "PBE-GGA",
  "state": "optimized geometry",
  "lattice": [[6.549, 0.000, 0.000], [3.275, 5.610, -1.320], [3.275, 0.173, 8.056]],
  "species": ["U", "U", "U", "U", "U", "U", "Mn", "Mn", "Mn", "Mn", "Mn", "Mn", "Mo", "Mo", "Mo", "Mo", "Mo", "Mo"],
  "fractional_positions": [[0.873, 0.776, 0.288], [0.889, 0.130, 0.155], [0.826, 0.630, 0.655], [0.920, 0.291, 0.439], [0.349, 0.791, 0.939], [0.063, 0.276, 0.788], [0.346, 0.049, 0.224], [0.413, 0.379, 0.165], [0.144, 0.805, 0.359], [0.381, 0.549, 0.724], [0.043, 0.879, 0.665], [0.693, 0.305, 0.859], [0.647, 0.589, 0.171], [0.222, 0.355, 0.994], [0.430, 0.855, 0.494], [0.369, 0.377, 0.455], [0.799, 0.877, 0.955], [0.593, 0.089, 0.671]],
  "delta_e_f_ev_per_atom": 0.2244,
  "de_polymorph_mev_per_atom": 52,
  "crystal_system": "monoclinic"
}

Entry 26:
{
  "formula": "K2ZnBiS4",
  "functional": "PBE-GGA",
  "state": "optimized geometry",
  "lattice": [[6.715, 0.000, 0.000], [3.358, 5.586, 0.000], [3.358, 0.000, 5.586]],
  "species": ["K", "K", "Zn", "Bi", "S", "S", "S", "S"],
  "fractional_positions": [[0.000, 0.500, 0.500], [0.500, 0.500, 0.500], [0.500, 0.000, 0.000], [0.000, 0.000, 0.000], [0.105, 0.336, 0.000], [0.895, 0.000, 0.664], [0.559, 0.000, 0.336], [0.441, 0.664, 0.000]],
  "formation_energy_uncorrected_ev_per_atom": -0.675,
  "crystal_system": "tetragonal"
}

Calculated volume
In order: 118.6 75.6 203.3 93.1 67.1 239.1 142.7 132.4 301.2 127.3 105.7 275.7 51.8 187.8 163.2 94.1 354.2 107.4 271.0 134.9 55.5 80.7 62.3 89.4 297.5 209.5
Unit: Å³/cell
Total magnetization
In order: 0.00 0.00 0.00 0.00 0.00 0.00 0.00 2.05 0.00 0.00 0.00 0.00 0.71 3.00 0.00 1.48 0.00 0.00 0.00 0.58 0.00 0.00 0.00 0.00 0.00 0.41
Unit: μB per cell